DFT (PBE-GGA) results for a geometry-optimized NaSn2PtCl structure.

Lattice parameters (Å, degrees): 5.0666 5.0666 5.8478 90.00 90.00 90.00
Closest atoms and distances in Å follow each position.
Space group P4/mmm (No. 123)
Symmetry-distinct sites (fractional):
Na: 0.0000 0.0000 0.0000 [1 per cell]  2 Pt 2.92
Sn: 0.0000 0.5000 0.5000 [2 per cell]  2 Pt 2.53
Pt: 0.0000 0.0000 0.5000 [1 per cell]  4 Sn 2.53
Cl: 0.5000 0.5000 0.0000 [1 per cell]  4 Na 3.58, 8 Sn 3.87

Calculated values
formation energy without anion corrections	-0.401	eV per atom
total energy	-19.215	eV/f.u.
mass density	5431	kg/m³